A plane-wave DFT calculation with PBE was carried out for a relaxed structure of CaPt2Cl.

Calculated values
**Calculated volume**: 20.43 Å³ per atom
**Space group**: I4/mmm
**Uncorrected energy**: -4.691 eV per atom

Cell lengths 6.339, 6.339, 6.339 Å; angles 145.40, 145.40, 49.73 degrees
Element x y z (fractional)
Pt  0.500  0.500  0.000
Pt  0.000  0.000  0.000
Cl  0.750  0.250  0.500
Ca  0.250  0.750  0.500